First-principles (PBE) data for a relaxed YPtBr2 crystal, as listed in Alexandria via LeMat-Bulk.

Output
ΔE_f (raw) ... -39.2 kJ/mol of atoms
Fermi-level density of states ... 2.735 states/eV/f.u.
Magnetization ... 0.00 μB per atom
Density ... 8.30 g/cm3
DFT total energy ... -17.47 eV per cell
Offset from the most stable computed form ... 0.559 eV/atom

abc: 3.6395 3.6395 6.7055
angles: 90.00 90.00 90.00
Last column: nearest neighbours and their distance in Å.
Space group P4/mmm (No. 123)
One atom of each set of equivalent atoms:
Y 0.0000 0.0000 0.0000 x1  8 Br 3.02, 2 Pt 3.35
Pt 0.0000 0.0000 0.5000 x1  8 Br 3.12, 2 Y 3.35
Br 0.5000 0.5000 0.2369 x2  4 Y 3.02, 4 Pt 3.12, 1 Br 3.18

First-principles (PBE) data for a relaxed YPt2Br crystal, as listed in Alexandria via LeMat-Bulk.

Output
ΔE_f (raw) ... -2.0 kJ/mol of atoms
Fermi-level density of states ... 1.684 states/eV/f.u.
Magnetization ... 0.00 μB per atom
Density ... 8.07 g/cm3
DFT total energy ... -81.21 eV per cell
Offset from the most stable computed form ... 0.862 eV/atom

abc: 6.1671 6.1671 12.0998
angles: 90.00 90.00 90.00
Last column: nearest neighbours and their distance in Å.
Space group I-42d (No. 122)
One atom of each set of equivalent atoms:
Y 0.0000 0.0000 0.0000 x4  4 Pt 2.75
Pt 0.2231 0.2500 0.6250 x8  2 Br 2.56, 2 Y 2.75
Br 0.0000 0.0000 0.5000 x4  4 Pt 2.56

First-principles (PBE) data for a relaxed Y4PtBr crystal, as listed in Alexandria via LeMat-Bulk.

Output
ΔE_f (raw) ... 34.0 kJ/mol of atoms
Fermi-level density of states ... 8.013 states/eV/f.u.
Magnetization ... 0.00 μB per atom
Density ... 6.14 g/cm3
DFT total energy ... -125.81 eV per cell

abc: 8.8035 8.8035 8.8035
angles: 90.00 90.00 90.00
Last column: nearest neighbours and their distance in Å.
Space group F-43m (No. 216)
One atom of each set of equivalent atoms:
Y 0.1238 0.1238 0.3762 x16  6 Y 3.08-3.14
Pt 0.2500 0.2500 0.7500 x4  12 Y 3.65, 4 Br 3.81
Br 0.0000 0.0000 0.0000 x4  12 Y 3.65, 4 Pt 3.81

First-principles (PBE) data for a relaxed YPtBr2 crystal, as listed in Alexandria via LeMat-Bulk.

Output
ΔE_f (raw) ... -48.4 kJ/mol of atoms
Fermi-level density of states ... 2.654 states/eV/f.u.
Magnetization ... 0.00 μB per atom
Density ... 7.23 g/cm3
DFT total energy ... -53.57 eV per cell
Offset from the most stable computed form ... 0.463 eV/atom

abc: 3.6349 3.6349 26.7254
angles: 90.00 90.00 120.00
Last column: nearest neighbours and their distance in Å.
Space group R-3m (No. 166, hexagonal axes)
One atom of each set of equivalent atoms:
Y 0.0000 0.0000 0.0000 x3  6 Br 2.89
Pt 0.0000 0.0000 0.5000 x3  2 Br 2.47
Br 0.0000 0.0000 0.4075 x6  1 Pt 2.47

First-principles (PBE) data for a relaxed YPtBr2 crystal, as listed in Alexandria via LeMat-Bulk.

Output
ΔE_f (raw) ... -86.2 kJ/mol of atoms
Fermi-level density of states ... 2.599 states/eV/f.u.
Magnetization ... 0.00 μB per atom
Density ... 6.62 g/cm3
DFT total energy ... -19.42 eV per cell
Offset from the most stable computed form ... 0.072 eV/atom

abc: 3.7445 3.7445 7.9377
angles: 90.00 90.00 90.00
Last column: nearest neighbours and their distance in Å.
Space group P4mm (No. 99)
One atom of each set of equivalent atoms:
Y 0.0000 0.0000 0.0000 x1  1 Br 2.75, 4 Pt 2.90
Pt 0.5000 0.5000 0.8503 x1  4 Y 2.90, 5 Br 3.03-3.08
Br 0.0000 0.0000 0.6532 x1  1 Y 2.75, 4 Pt 3.08
Br 0.5000 0.5000 0.2320 x1  1 Pt 3.03, 4 Y 3.23

First-principles (PBE) data for a relaxed YPt4Br crystal, as listed in Alexandria via LeMat-Bulk.

Output
ΔE_f (raw) ... -51.9 kJ/mol of atoms
Fermi-level density of states ... 3.073 states/eV/f.u.
Magnetization ... 0.00 μB per atom
Density ... 13.88 g/cm3
DFT total energy ... -142.12 eV per cell

abc: 7.6862 7.6862 7.6862
angles: 90.00 90.00 90.00
Last column: nearest neighbours and their distance in Å.
Space group F-43m (No. 216)
One atom of each set of equivalent atoms:
Y 0.0000 0.0000 0.0000 x4  12 Pt 3.19, 4 Br 3.33
Pt 0.1251 0.1251 0.3749 x16  6 Pt 2.71-2.72
Br 0.2500 0.2500 0.7500 x4  12 Pt 3.19, 4 Y 3.33

Copy entry 2 word for word.
First-principles (PBE) data for a relaxed YPt2Br crystal, as listed in Alexandria via LeMat-Bulk.

Output
ΔE_f (raw) ... -2.0 kJ/mol of atoms
Fermi-level density of states ... 1.684 states/eV/f.u.
Magnetization ... 0.00 μB per atom
Density ... 8.07 g/cm3
DFT total energy ... -81.21 eV per cell
Offset from the most stable computed form ... 0.862 eV/atom

abc: 6.1671 6.1671 12.0998
angles: 90.00 90.00 90.00
Last column: nearest neighbours and their distance in Å.
Space group I-42d (No. 122)
One atom of each set of equivalent atoms:
Y 0.0000 0.0000 0.0000 x4  4 Pt 2.75
Pt 0.2231 0.2500 0.6250 x8  2 Br 2.56, 2 Y 2.75
Br 0.0000 0.0000 0.5000 x4  4 Pt 2.56

Copy entry 5 word for word.
First-principles (PBE) data for a relaxed YPtBr2 crystal, as listed in Alexandria via LeMat-Bulk.

Output
ΔE_f (raw) ... -86.2 kJ/mol of atoms
Fermi-level density of states ... 2.599 states/eV/f.u.
Magnetization ... 0.00 μB per atom
Density ... 6.62 g/cm3
DFT total energy ... -19.42 eV per cell
Offset from the most stable computed form ... 0.072 eV/atom

abc: 3.7445 3.7445 7.9377
angles: 90.00 90.00 90.00
Last column: nearest neighbours and their distance in Å.
Space group P4mm (No. 99)
One atom of each set of equivalent atoms:
Y 0.0000 0.0000 0.0000 x1  1 Br 2.75, 4 Pt 2.90
Pt 0.5000 0.5000 0.8503 x1  4 Y 2.90, 5 Br 3.03-3.08
Br 0.0000 0.0000 0.6532 x1  1 Y 2.75, 4 Pt 3.08
Br 0.5000 0.5000 0.2320 x1  1 Pt 3.03, 4 Y 3.23

Question: Among the records above, which one has the lowest ΔE_f (raw)?
Answer: number 5